Record 1
{"formula": "ZnIn2RhI", "functional": "PBE", "state": "optimized geometry", "lattice_angstrom": [[5.2815, 0.0000, 0.0000], [0.0000, 5.2815, 0.0000], [0.0000, 0.0000, 4.9317]], "species": ["Rh", "I", "In", "In", "Zn"], "fractional_positions": [[0.0000, 0.0000, 0.0000], [0.5000, 0.5000, 0.5000], [0.0000, 0.5000, 0.0000], [0.5000, 0.0000, 0.0000], [0.0000, 0.0000, 0.5000]], "total_magnetization_mub_per_fu": 0.000}

=====

Record 2
{"formula": "InRuI3", "functional": "PBE", "state": "optimized geometry", "lattice_angstrom": [[5.5133, 0.0000, 0.0000], [0.0000, 5.5133, 0.0000], [0.0000, 0.0000, 5.5133]], "species": ["I", "Ru", "In", "I", "I"], "fractional_positions": [[0.5000, 0.0000, 0.0000], [0.0000, 0.0000, 0.0000], [0.5000, 0.5000, 0.5000], [0.0000, 0.5000, 0.0000], [0.0000, 0.0000, 0.5000]], "e_above_lowest_polymorph_ev_per_atom": 0.000, "total_magnetization_mub_per_fu": 1.418}

=====

Record 3
{"formula": "InRuI2", "functional": "PBE", "state": "optimized geometry", "lattice_angstrom": [[0.0000, 3.8480, 3.8480], [3.8480, 0.0000, 3.8480], [3.8480, 3.8480, 0.0000]], "species": ["Ru", "I", "In", "I"], "fractional_positions": [[0.0000, 0.0000, 0.0000], [0.7500, 0.7500, 0.7500], [0.5000, 0.5000, 0.5000], [0.2500, 0.2500, 0.2500]], "total_magnetization_mub_per_fu": 3.000}

=====

Number 1: formation energy without anion corrections -0.2046 eV per atom. Number 2: formation energy without anion corrections 0.1179 eV per atom. Number 3: formation energy without anion corrections 0.6427 eV per atom.